The following is a PBE calculation of a relaxed LiPm2As crystal, from Alexandria via LeMat-Bulk.

Calculated values
* total magnetization: 0.00 Bohr magnetons per cell
* calculated total energy: -18.15 eV for the cell shown
* ΔH_f (0 K): -0.52 eV per atom
* excess energy over the best structure of this formula in the dataset: 0.079 eV per atom

Cell: 5.1215 5.1215 5.1215 Å, 60.00 60.00 60.00°
Atoms (fractional coordinates):
Li  0.0000  0.0000  0.0000
Pm  0.2500  0.2500  0.2500
Pm  0.7500  0.7500  0.7500
As  0.5000  0.5000  0.5000